No. 1
Hf2TlPd: optimized geometry, PBE-GGA.

## Properties
- electronic total energy (eV/atom) = -6.767

a b c (Å): 4.874 4.874 4.874
angles (deg): 60.00 60.00 60.00
Fractional coordinates of all 4 atoms:
Hf (0.000, 0.000, 0.000)
Hf (0.750, 0.750, 0.750)
Pd (0.250, 0.250, 0.250)
Tl (0.500, 0.500, 0.500)

No. 2
TmHfPd: optimized geometry, PBE-GGA.

## Properties
- calculated formation energy (eV per atom) = -0.221
- electronic total energy (eV/atom) = -6.756
- excess energy over the best structure of this formula in the dataset (meV/atom) = 0

a b c (Å): 4.670 4.670 4.670
angles (deg): 60.00 60.00 60.00
Fractional coordinates of all 3 atoms:
Tm (0.000, 0.000, 0.000)
Pd (0.250, 0.250, 0.250)
Hf (0.500, 0.500, 0.500)

No. 3
HfPd2W: optimized geometry, PBE-GGA.

## Properties
- calculated formation energy (eV per atom) = 0.016
- electronic total energy (eV/atom) = -8.301

a b c (Å): 4.555 4.555 4.555
angles (deg): 60.00 60.00 60.00
Fractional coordinates of all 4 atoms:
Pd (0.750, 0.750, 0.750)
Pd (0.000, 0.000, 0.000)
Hf (0.250, 0.250, 0.250)
W (0.500, 0.500, 0.500)

No. 4
HfPdW2: optimized geometry, PBE-GGA.

## Properties
- calculated formation energy (eV per atom) = -0.004
- electronic total energy (eV/atom) = -10.267

a b c (Å): 4.577 4.577 4.577
angles (deg): 60.00 60.00 60.00
Fractional coordinates of all 4 atoms:
W (0.750, 0.750, 0.750)
Hf (0.250, 0.250, 0.250)
Pd (0.500, 0.500, 0.500)
W (0.000, 0.000, 0.000)